YCrHg: relaxed, PBEsol.

POSCAR file:
```
YCrHg
1.0
-0.759 3.945 2.506
-3.415 0.102 3.278
1.133 0.141 4.595
Y Hg Cr
1 1 1
Cartesian
0.000 0.000 0.000
-0.760 1.047 2.595
-1.520 2.094 5.190
```

## Properties
Space group: F-43m (216)



YCrHg: relaxed, PBEsol.

POSCAR file:
```
YCrHg
1.0
-2.888 -1.879 -1.266
1.737 -0.513 -3.202
2.461 -2.824 3.900
Y Cr Hg
1 1 1
Cartesian
1.266 -2.701 1.120
0.029 -0.061 0.025
0.014 -2.453 -1.713
```

## Properties
Space group: I4mm (107)



YCrHg2: relaxed, PBEsol.

POSCAR file:
```
YCrHg2
1.0
3.479 0.000 0.000
1.740 3.013 0.000
1.740 1.004 8.675
Hg Y Cr
2 1 1
Cartesian
5.219 3.013 6.700
1.740 1.004 1.975
3.479 2.009 4.337
0.000 0.000 0.000
```

## Properties
Space group: R-3m (166)



YCrHg2: relaxed, PBEsol.

POSCAR file:
```
YCrHg2
1.0
-1.817 -1.511 2.521
-2.267 -1.165 -2.332
3.784 -5.830 -0.767
Y Hg Cr
1 2 1
Cartesian
-2.042 -1.338 0.094
1.068 -1.645 -0.216
2.716 -4.184 -0.550
-0.150 -4.253 -0.289
```

## Properties
Space group: P4/mmm (123)



Zn2CrHg: relaxed, PBEsol.

POSCAR file:
```
Zn2CrHg
1.0
-2.622 0.167 -0.908
-0.533 -0.059 -2.728
-1.747 -9.098 -0.880
Zn Hg Cr
2 1 1
Cartesian
-1.247 -2.527 -1.119
-3.656 -6.463 -3.397
0.000 0.000 0.000
-2.451 -4.495 -2.258
```

## Properties
Space group: R-3m (166)



Zn3CrHg: relaxed, PBEsol.

POSCAR file:
```
Zn3CrHg
1.0
4.861 0.000 0.000
0.000 4.861 0.000
0.000 0.000 4.861
Zn Cr Hg
3 1 1
Cartesian
0.000 2.431 0.000
0.000 0.000 2.431
2.431 0.000 0.000
2.431 2.431 2.431
0.000 0.000 0.000
```

## Properties
Space group: Pm-3m (221)



Zn2CrHg: relaxed, PBEsol.

POSCAR file:
```
Zn2CrHg
1.0
3.895 0.000 0.000
0.000 4.007 0.000
-1.947 -2.004 4.061
Hg Cr Zn
1 1 2
Cartesian
0.000 2.004 2.039
0.000 0.000 4.051
0.000 0.000 0.015
1.947 0.000 2.016
```

## Properties
Space group: Imm2 (44)



Zn2CrHg: relaxed, PBEsol.

POSCAR file:
```
Zn2CrHg
1.0
2.899 0.000 -0.012
0.000 4.163 0.000
-1.421 0.000 5.240
Cr Zn Hg
1 2 1
Cartesian
2.006 0.000 2.391
0.542 0.000 0.028
0.555 2.081 1.395
0.563 2.081 4.022
```

## Properties
Space group: Amm2 (38)



| no. | final energy (eV per cell) | energy of formation from the pure elements (eV per formula unit) |
| --- | --- | --- |
| 1 | -16.5 | 1.136 |
| 2 | -17.2 | 0.394 |
| 3 | -17.5 | 0.732 |
| 4 | -18.4 | -0.185 |
| 5 | -12.5 | 1.440 |
| 6 | -10.8 | 4.737 |
| 7 | -13.0 | 0.979 |
| 8 | -12.9 | 1.067 |